A relaxed structure of Fe3Co2Ni6. Source: the Alexandria database, functional GGA-PBE.

Values from the calculation:
- E_form (eV per atom) = 0.27
- total energy (eV per formula unit) = -71.35

```
data_Fe3Co2Ni6
_space_group_name_H-M_alt 'P 1'
_space_group_IT_number 1
_space_group_name_Hall 'P 1'
_cell_length_a 3.428
_cell_length_b 3.428
_cell_length_c 11.611
_cell_angle_alpha 98.49
_cell_angle_beta 98.49
_cell_angle_gamma 90.00
loop_
_atom_site_label
_atom_site_type_symbol
_atom_site_fract_x
_atom_site_fract_y
_atom_site_fract_z
_atom_site_occupancy
Fe1 Fe 0.000 0.000 0.000 1
Fe2 Fe 0.798 0.798 0.596 1
Fe3 Fe 0.202 0.202 0.404 1
Co1 Co 0.453 0.453 0.907 1
Co2 Co 0.547 0.547 0.093 1
Ni1 Ni 0.617 0.117 0.235 1
Ni2 Ni 0.117 0.617 0.235 1
Ni3 Ni 0.383 0.883 0.765 1
Ni4 Ni 0.883 0.383 0.765 1
Ni5 Ni 0.695 0.695 0.390 1
Ni6 Ni 0.305 0.305 0.610 1
```

A relaxed structure of FeCo4Ni6. Source: the Alexandria database, functional GGA-PBE.

Values from the calculation:
- E_form (eV per atom) = 0.33
- total energy (eV per formula unit) = -67.91

```
data_FeCo4Ni6
_space_group_name_H-M_alt 'P 1'
_space_group_IT_number 1
_space_group_name_Hall 'P 1'
_cell_length_a 6.848
_cell_length_b 6.848
_cell_length_c 6.848
_cell_angle_alpha 57.80
_cell_angle_beta 140.04
_cell_angle_gamma 140.04
loop_
_atom_site_label
_atom_site_type_symbol
_atom_site_fract_x
_atom_site_fract_y
_atom_site_fract_z
_atom_site_occupancy
Fe1 Fe 0.000 0.000 0.000 1
Co1 Co 0.000 0.631 0.020 1
Co2 Co 0.389 0.369 0.369 1
Co3 Co 0.000 0.020 0.631 1
Co4 Co 0.611 0.980 0.980 1
Ni1 Ni 0.000 0.818 0.447 1
Ni2 Ni 0.000 0.447 0.818 1
Ni3 Ni 0.371 0.553 0.553 1
Ni4 Ni 0.500 0.500 0.000 1
Ni5 Ni 0.629 0.182 0.182 1
Ni6 Ni 0.500 0.000 0.500 1
```

A relaxed structure of Fe8CoNi2. Source: the Alexandria database, functional GGA-PBE.

Values from the calculation:
- E_form (eV per atom) = 0.42
- total energy (eV per formula unit) = -81.72

```
data_Fe8CoNi2
_space_group_name_H-M_alt 'P 1'
_space_group_IT_number 1
_space_group_name_Hall 'P 1'
_cell_length_a 4.139
_cell_length_b 6.056
_cell_length_c 6.056
_cell_angle_alpha 83.05
_cell_angle_beta 79.62
_cell_angle_gamma 79.62
loop_
_atom_site_label
_atom_site_type_symbol
_atom_site_fract_x
_atom_site_fract_y
_atom_site_fract_z
_atom_site_occupancy
Fe1 Fe 0.189 0.345 0.848 1
Fe2 Fe 0.811 0.152 0.655 1
Fe3 Fe 0.114 0.730 0.730 1
Fe4 Fe 0.886 0.270 0.270 1
Fe5 Fe 0.189 0.848 0.345 1
Fe6 Fe 0.811 0.655 0.152 1
Fe7 Fe 0.704 0.577 0.577 1
Fe8 Fe 0.296 0.423 0.423 1
Co1 Co 0.000 0.000 0.000 1
Ni1 Ni 0.539 0.861 0.861 1
Ni2 Ni 0.461 0.139 0.139 1
```

A relaxed structure of Fe2Co15Ni2. Source: the Alexandria database, functional GGA-PBE.

Values from the calculation:
- E_form (eV per atom) = 0.19
- offset from the most stable computed form (meV per atom) = 0
- total energy (eV per formula unit) = -131.39

```
data_Fe2Co15Ni2
_space_group_name_H-M_alt 'P 1'
_space_group_IT_number 1
_space_group_name_Hall 'P 1'
_cell_length_a 6.138
_cell_length_b 6.138
_cell_length_c 6.138
_cell_angle_alpha 81.48
_cell_angle_beta 81.48
_cell_angle_gamma 81.48
loop_
_atom_site_label
_atom_site_type_symbol
_atom_site_fract_x
_atom_site_fract_y
_atom_site_fract_z
_atom_site_occupancy
Fe1 Fe 0.318 0.318 0.318 1
Fe2 Fe 0.682 0.682 0.682 1
Co1 Co 0.500 0.000 0.000 1
Co2 Co 0.000 0.000 0.500 1
Co3 Co 0.000 0.500 0.000 1
Co4 Co 0.000 0.698 0.302 1
Co5 Co 0.698 0.302 0.000 1
Co6 Co 0.302 0.000 0.698 1
Co7 Co 0.302 0.698 0.000 1
Co8 Co 0.698 0.000 0.302 1
Co9 Co 0.000 0.302 0.698 1
Co10 Co 0.156 0.647 0.647 1
Co11 Co 0.647 0.647 0.156 1
Co12 Co 0.647 0.156 0.647 1
Co13 Co 0.844 0.353 0.353 1
Co14 Co 0.353 0.353 0.844 1
Co15 Co 0.353 0.844 0.353 1
Ni1 Ni 0.100 0.100 0.100 1
Ni2 Ni 0.900 0.900 0.900 1
```

A relaxed structure of Fe4CoNi12. Source: the Alexandria database, functional GGA-PBE.

Values from the calculation:
- E_form (eV per atom) = 0.15
- total energy (eV per formula unit) = -107.74

```
data_Fe4CoNi12
_space_group_name_H-M_alt 'P 1'
_space_group_IT_number 1
_space_group_name_Hall 'P 1'
_cell_length_a 6.371
_cell_length_b 6.371
_cell_length_c 6.371
_cell_angle_alpha 109.47
_cell_angle_beta 109.47
_cell_angle_gamma 109.47
loop_
_atom_site_label
_atom_site_type_symbol
_atom_site_fract_x
_atom_site_fract_y
_atom_site_fract_z
_atom_site_occupancy
Fe1 Fe 0.000 0.000 0.500 1
Fe2 Fe 0.500 0.000 0.000 1
Fe3 Fe 0.500 0.500 0.500 1
Fe4 Fe 0.000 0.500 0.000 1
Co1 Co 0.000 0.000 0.000 1
Ni1 Ni 0.000 0.297 0.297 1
Ni2 Ni 0.000 0.703 0.703 1
Ni3 Ni 0.703 0.703 0.000 1
Ni4 Ni 0.297 0.297 0.000 1
Ni5 Ni 0.297 0.000 0.297 1
Ni6 Ni 0.703 0.000 0.703 1
Ni7 Ni 0.500 0.250 0.750 1
Ni8 Ni 0.500 0.750 0.250 1
Ni9 Ni 0.750 0.250 0.500 1
Ni10 Ni 0.250 0.750 0.500 1
Ni11 Ni 0.750 0.500 0.250 1
Ni12 Ni 0.250 0.500 0.750 1
```

A relaxed structure of Fe4CoNi. Source: the Alexandria database, functional GGA-PBE.

Values from the calculation:
- E_form (eV per atom) = 0.64
- offset from the most stable computed form (meV per atom) = 634
- total energy (eV per formula unit) = -42.92

```
data_Fe4CoNi
_space_group_name_H-M_alt 'P 1'
_space_group_IT_number 1
_space_group_name_Hall 'P 1'
_cell_length_a 4.696
_cell_length_b 4.406
_cell_length_c 7.888
_cell_angle_alpha 90.00
_cell_angle_beta 90.00
_cell_angle_gamma 90.00
loop_
_atom_site_label
_atom_site_type_symbol
_atom_site_fract_x
_atom_site_fract_y
_atom_site_fract_z
_atom_site_occupancy
Fe1 Fe 0.153 0.749 0.996 1
Fe2 Fe 0.347 0.251 0.004 1
Fe3 Fe 0.153 0.251 0.504 1
Fe4 Fe 0.347 0.749 0.496 1
Fe5 Fe 0.847 0.749 0.504 1
Fe6 Fe 0.653 0.251 0.496 1
Fe7 Fe 0.847 0.251 0.996 1
Fe8 Fe 0.653 0.749 0.004 1
Co1 Co 0.000 0.500 0.250 1
Co2 Co 0.500 0.500 0.750 1
Ni1 Ni 0.000 0.000 0.750 1
Ni2 Ni 0.500 0.000 0.250 1
```

A relaxed structure of FeCo4Ni7. Source: the Alexandria database, functional GGA-PBE.

Values from the calculation:
- E_form (eV per atom) = 0.34
- offset from the most stable computed form (meV per atom) = 362
- total energy (eV per formula unit) = -73.24

```
data_FeCo4Ni7
_space_group_name_H-M_alt 'P 1'
_space_group_IT_number 1
_space_group_name_Hall 'P 1'
_cell_length_a 4.272
_cell_length_b 7.912
_cell_length_c 4.911
_cell_angle_alpha 83.25
_cell_angle_beta 64.22
_cell_angle_gamma 74.34
loop_
_atom_site_label
_atom_site_type_symbol
_atom_site_fract_x
_atom_site_fract_y
_atom_site_fract_z
_atom_site_occupancy
Fe1 Fe 0.000 0.000 0.000 1
Co1 Co 0.586 0.227 0.600 1
Co2 Co 0.414 0.773 0.400 1
Co3 Co 0.717 0.691 0.875 1
Co4 Co 0.283 0.309 0.125 1
Ni1 Ni 0.791 0.916 0.501 1
Ni2 Ni 0.209 0.084 0.499 1
Ni3 Ni 0.039 0.620 0.302 1
Ni4 Ni 0.961 0.380 0.698 1
Ni5 Ni 0.346 0.544 0.763 1
Ni6 Ni 0.500 0.000 0.000 1
Ni7 Ni 0.654 0.456 0.237 1
```

A relaxed structure of Fe8Co2Ni3. Source: the Alexandria database, functional GGA-PBE.

Values from the calculation:
- E_form (eV per atom) = 0.28
- total energy (eV per formula unit) = -95.67

```
data_Fe8Co2Ni3
_space_group_name_H-M_alt 'P 1'
_space_group_IT_number 1
_space_group_name_Hall 'P 1'
_cell_length_a 4.066
_cell_length_b 7.157
_cell_length_c 7.157
_cell_angle_alpha 50.83
_cell_angle_beta 90.00
_cell_angle_gamma 90.00
loop_
_atom_site_label
_atom_site_type_symbol
_atom_site_fract_x
_atom_site_fract_y
_atom_site_fract_z
_atom_site_occupancy
Fe1 Fe 0.000 0.323 0.323 1
Fe2 Fe 0.000 0.677 0.677 1
Fe3 Fe 0.000 0.878 0.878 1
Fe4 Fe 0.000 0.122 0.122 1
Fe5 Fe 0.500 0.419 0.802 1
Fe6 Fe 0.500 0.802 0.419 1
Fe7 Fe 0.500 0.198 0.581 1
Fe8 Fe 0.500 0.581 0.198 1
Co1 Co 0.500 0.783 0.783 1
Co2 Co 0.500 0.217 0.217 1
Ni1 Ni 0.500 0.000 0.000 1
Ni2 Ni 0.000 0.702 0.298 1
Ni3 Ni 0.000 0.298 0.702 1
```

A relaxed structure of Fe2CoNi4. Source: the Alexandria database, functional GGA-PBE.

Values from the calculation:
- E_form (eV per atom) = 0.14
- offset from the most stable computed form (meV per atom) = 0
- total energy (eV per formula unit) = -46.14

```
data_Fe2CoNi4
_space_group_name_H-M_alt 'P 1'
_space_group_IT_number 1
_space_group_name_Hall 'P 1'
_cell_length_a 4.934
_cell_length_b 4.934
_cell_length_c 4.953
_cell_angle_alpha 120.01
_cell_angle_beta 120.01
_cell_angle_gamma 89.77
loop_
_atom_site_label
_atom_site_type_symbol
_atom_site_fract_x
_atom_site_fract_y
_atom_site_fract_z
_atom_site_occupancy
Ni1 Ni 0.786 0.786 0.072 1
Ni2 Ni 0.286 0.286 0.071 1
Ni3 Ni 0.786 0.286 0.071 1
Ni4 Ni 0.286 0.786 0.071 1
Co1 Co 0.786 0.786 0.571 1
Fe1 Fe 0.286 0.785 0.571 1
Fe2 Fe 0.785 0.286 0.571 1
```

A relaxed structure of FeCo3Ni12. Source: the Alexandria database, functional GGA-PBE.

Values from the calculation:
- E_form (eV per atom) = -0.01
- total energy (eV per formula unit) = -99.30

```
data_FeCo3Ni12
_space_group_name_H-M_alt 'P 1'
_space_group_IT_number 1
_space_group_name_Hall 'P 1'
_cell_length_a 3.527
_cell_length_b 3.527
_cell_length_c 14.114
_cell_angle_alpha 90.00
_cell_angle_beta 90.00
_cell_angle_gamma 90.00
loop_
_atom_site_label
_atom_site_type_symbol
_atom_site_fract_x
_atom_site_fract_y
_atom_site_fract_z
_atom_site_occupancy
Fe1 Fe 0.000 0.000 0.000 1
Co1 Co 0.000 0.000 0.251 1
Co2 Co 0.000 0.000 0.500 1
Co3 Co 0.000 0.000 0.749 1
Ni1 Ni 0.500 0.500 0.000 1
Ni2 Ni 0.500 0.500 0.251 1
Ni3 Ni 0.500 0.500 0.500 1
Ni4 Ni 0.500 0.500 0.749 1
Ni5 Ni 0.500 0.000 0.126 1
Ni6 Ni 0.500 0.000 0.375 1
Ni7 Ni 0.500 0.000 0.625 1
Ni8 Ni 0.500 0.000 0.874 1
Ni9 Ni 0.000 0.500 0.126 1
Ni10 Ni 0.000 0.500 0.375 1
Ni11 Ni 0.000 0.500 0.625 1
Ni12 Ni 0.000 0.500 0.874 1
```

A relaxed structure of FeCo2Ni4. Source: the Alexandria database, functional GGA-PBE.

Values from the calculation:
- E_form (eV per atom) = 0.15
- offset from the most stable computed form (meV per atom) = 110
- total energy (eV per formula unit) = -44.72

```
data_FeCo2Ni4
_space_group_name_H-M_alt 'P 1'
_space_group_IT_number 1
_space_group_name_Hall 'P 1'
_cell_length_a 5.956
_cell_length_b 5.956
_cell_length_c 4.799
_cell_angle_alpha 128.40
_cell_angle_beta 128.40
_cell_angle_gamma 90.00
loop_
_atom_site_label
_atom_site_type_symbol
_atom_site_fract_x
_atom_site_fract_y
_atom_site_fract_z
_atom_site_occupancy
Fe1 Fe 0.000 0.000 0.000 1
Co1 Co 0.750 0.250 0.500 1
Co2 Co 0.250 0.750 0.500 1
Ni1 Ni 0.699 0.301 0.000 1
Ni2 Ni 0.301 0.699 0.000 1
Ni3 Ni 0.302 0.302 0.001 1
Ni4 Ni 0.698 0.698 0.999 1
```

A relaxed structure of Fe6CoNi8. Source: the Alexandria database, functional GGA-PBE.

Values from the calculation:
- E_form (eV per atom) = 0.25
- offset from the most stable computed form (meV per atom) = 0
- total energy (eV per formula unit) = -100.42

```
data_Fe6CoNi8
_space_group_name_H-M_alt 'P 1'
_space_group_IT_number 1
_space_group_name_Hall 'P 1'
_cell_length_a 2.493
_cell_length_b 9.163
_cell_length_c 9.163
_cell_angle_alpha 120.00
_cell_angle_beta 90.00
_cell_angle_gamma 90.00
loop_
_atom_site_label
_atom_site_type_symbol
_atom_site_fract_x
_atom_site_fract_y
_atom_site_fract_z
_atom_site_occupancy
Fe1 Fe 0.734 0.531 0.626 1
Fe2 Fe 0.734 0.374 0.905 1
Fe3 Fe 0.734 0.095 0.469 1
Fe4 Fe 0.266 0.469 0.374 1
Fe5 Fe 0.266 0.626 0.095 1
Fe6 Fe 0.266 0.905 0.531 1
Co1 Co 0.500 0.000 0.000 1
Ni1 Ni 0.778 0.718 0.924 1
Ni2 Ni 0.778 0.076 0.794 1
Ni3 Ni 0.778 0.206 0.282 1
Ni4 Ni 0.222 0.282 0.076 1
Ni5 Ni 0.222 0.924 0.206 1
Ni6 Ni 0.222 0.794 0.718 1
Ni7 Ni 0.767 0.667 0.333 1
Ni8 Ni 0.233 0.333 0.667 1
```